Entry 1:
{
  "formula": "Nb2CrRh5",
  "functional": "PBE-GGA",
  "state": "optimized geometry",
  "lattice_angstrom": [[-3.4116, 1.7382, 0.9754], [-0.7632, -3.7301, 3.9775], [5.3223, 6.4688, 7.0878]],
  "species": ["Nb", "Nb", "Nb", "Nb", "Rh", "Rh", "Rh", "Rh", "Rh", "Rh", "Rh", "Rh", "Rh", "Rh", "Cr", "Cr"],
  "fractional_positions": [[0.5000, 0.2763, 0.3681], [0.5000, 0.2237, 0.8681], [0.5000, 0.7237, 0.6319], [0.5000, 0.7763, 0.1319], [0.0000, 0.5000, 0.5000], [0.5000, 0.7708, 0.3822], [0.0000, 0.9761, 0.7467], [0.0000, 0.5239, 0.2467], [0.5000, 0.2708, 0.1178], [0.0000, 0.4761, 0.7533], [0.5000, 0.7292, 0.8822], [0.0000, 0.0000, 0.0000], [0.0000, 0.0239, 0.2533], [0.5000, 0.2292, 0.6178], [0.0000, 0.0000, 0.5000], [0.0000, 0.5000, 0.0000]],
  "space_group": "No. 55",
  "final_energy_ev_per_cell": -139.51
}

---

Entry 2:
{
  "formula": "Nb2CrRh",
  "functional": "PBE-GGA",
  "state": "optimized geometry",
  "lattice_angstrom": [[3.8327, 0.0000, 0.0000], [0.0000, 3.8327, 0.0000], [1.9163, 1.9163, 9.4741]],
  "species": ["Rh", "Rh", "Cr", "Cr", "Nb", "Nb", "Nb", "Nb"],
  "fractional_positions": [[0.0000, 0.0000, 0.0000], [0.7500, 0.2500, 0.5000], [0.2500, 0.7500, 0.5000], [0.5000, 0.5000, 0.0000], [0.1282, 0.6250, 0.2500], [0.6218, 0.1250, 0.2500], [0.3750, 0.3782, 0.7500], [0.8750, 0.8718, 0.7500]],
  "space_group": "No. 122",
  "e_above_lowest_polymorph_mev_per_atom": 720
}